# 1
Entry from Alexandria: a relaxed CrN3Cl crystal (PBEsol).

Spin magnetization = 1.694 Bohr magnetons per cell
D(E_F) = 2.8 states/eV/cell
Crystal system = cubic
ΔE_f (raw) = 1149 meV per atom

a = 3.767 Å, b = 3.767 Å, c = 3.767 Å
α = 90.00°, β = 90.00°, γ = 90.00°
Positions (direct):
Cr  0.000  0.000  0.000
N  0.000  0.000  0.500
N  0.000  0.500  0.000
N  0.500  0.000  0.000
Cl  0.500  0.500  0.500

# 2
Entry from Alexandria: a relaxed AlAsAuBr2 crystal (PBEsol).

Spin magnetization = 0.001 Bohr magnetons per cell
D(E_F) = 2.2 states/eV/cell
Crystal system = tetragonal
ΔE_f (raw) = 269 meV per atom

a = 4.750 Å, b = 4.750 Å, c = 5.255 Å
α = 90.00°, β = 90.00°, γ = 90.00°
Positions (direct):
Al  0.000  0.000  0.000
As  0.000  0.000  0.500
Au  0.500  0.500  0.500
Br  0.000  0.500  0.000
Br  0.500  0.000  0.000

# 3
Entry from Alexandria: a relaxed In2P3S9 crystal (PBEsol).

Spin magnetization = 0.000 Bohr magnetons per cell
D(E_F) = 0.0 states/eV/cell
Crystal system = monoclinic
ΔE_f (raw) = -380 meV per atom

a = 6.867 Å, b = 10.472 Å, c = 18.125 Å
α = 90.00°, β = 107.04°, γ = 90.00°
Positions (direct):
In  0.000  0.149  0.176
In  0.000  0.351  0.676
In  0.000  0.649  0.324
In  0.000  0.851  0.824
In  0.002  0.679  0.011
In  0.002  0.821  0.511
In  0.998  0.179  0.489
In  0.998  0.321  0.989
P  0.168  0.509  0.853
P  0.168  0.991  0.353
P  0.170  0.503  0.516
P  0.170  0.997  0.016
P  0.171  0.013  0.686
P  0.171  0.487  0.186
P  0.829  0.513  0.814
P  0.829  0.987  0.314
P  0.830  0.003  0.984
P  0.830  0.497  0.484
P  0.832  0.009  0.647
P  0.832  0.491  0.147
S  0.246  0.676  0.916
S  0.246  0.824  0.416
S  0.247  0.006  0.583
S  0.247  0.012  0.918
S  0.247  0.488  0.418
S  0.247  0.494  0.083
S  0.251  0.159  0.082
S  0.251  0.341  0.582
S  0.253  0.521  0.756
S  0.253  0.979  0.256
S  0.257  0.154  0.413
S  0.257  0.346  0.913
S  0.258  0.174  0.747
S  0.258  0.326  0.247
S  0.258  0.651  0.244
S  0.258  0.849  0.744
S  0.259  0.656  0.586
S  0.259  0.844  0.086
S  0.741  0.156  0.914
S  0.741  0.344  0.414
S  0.742  0.151  0.256
S  0.742  0.349  0.756
S  0.742  0.674  0.753
S  0.742  0.826  0.253
S  0.743  0.654  0.087
S  0.743  0.846  0.587
S  0.747  0.021  0.744
S  0.747  0.479  0.244
S  0.749  0.659  0.418
S  0.749  0.841  0.918
S  0.753  0.506  0.917
S  0.753  0.512  0.582
S  0.753  0.988  0.082
S  0.753  0.994  0.417
S  0.754  0.176  0.584
S  0.754  0.324  0.084